## 1
Material: La2Zr2F
Method: DFT, PBE
State: relaxed Values from VASP.

Structure (Quantum ESPRESSO input):
```
&SYSTEM
  ibrav = 0, nat = 10, ntyp = 3
/
ATOMIC_SPECIES
La 138.91 La.upf
F 19.00 F.upf
Zr 91.22 Zr.upf
CELL_PARAMETERS angstrom
6.3269 0.0000 0.0000
0.0000 6.3269 0.0000
0.0000 0.0000 6.2916
ATOMIC_POSITIONS crystal
La 0.6700 0.8300 0.5000
La 0.3300 0.1700 0.5000
F 0.0000 0.0000 0.0000
Zr 0.3384 0.8384 0.0000
Zr 0.1616 0.3384 0.0000
La 0.1700 0.6700 0.5000
F 0.5000 0.5000 0.0000
Zr 0.6616 0.1616 0.0000
Zr 0.8384 0.6616 0.0000
La 0.8300 0.3300 0.5000
```

---

## 2
Material: La2Zr2F
Method: DFT, PBE
State: relaxed Values from VASP.

Structure (Quantum ESPRESSO input):
```
&SYSTEM
  ibrav = 0, nat = 5, ntyp = 3
/
ATOMIC_SPECIES
La 138.91 La.upf
Zr 91.22 Zr.upf
F 19.00 F.upf
CELL_PARAMETERS angstrom
-1.8882 0.6663 3.6112
3.4336 -1.1196 2.0019
3.3166 7.4276 2.7243
ATOMIC_POSITIONS crystal
La 0.7500 0.2500 0.5000
Zr 0.5756 0.5756 0.8488
F 0.0000 0.0000 0.0000
Zr 0.4244 0.4244 0.1512
La 0.2500 0.7500 0.5000
```

---

The structure with the greatest stability is 1.

---

## 1
Material: LiF3
Method: DFT, PBE
State: relaxed Values from VASP.

Structure (Quantum ESPRESSO input):
```
&SYSTEM
  ibrav = 0, nat = 4, ntyp = 2
/
ATOMIC_SPECIES
Li 6.94 Li.upf
F 19.00 F.upf
CELL_PARAMETERS angstrom
0.4515 5.5513 -0.5974
0.5875 4.9848 2.4866
3.1394 4.5854 0.7037
ATOMIC_POSITIONS crystal
Li 0.5000 0.5000 0.5000
F 0.8924 0.8924 0.8924
F 0.0000 0.0000 0.0000
F 0.1076 0.1076 0.1076
```

---

## 2
Material: LiF3
Method: DFT, PBE
State: relaxed Values from VASP.

Structure (Quantum ESPRESSO input):
```
&SYSTEM
  ibrav = 0, nat = 4, ntyp = 2
/
ATOMIC_SPECIES
F 19.00 F.upf
Li 6.94 Li.upf
CELL_PARAMETERS angstrom
0.0000 2.7260 2.7260
2.7260 0.0000 2.7260
2.7260 2.7260 0.0000
ATOMIC_POSITIONS crystal
F 0.2500 0.2500 0.2500
F 0.7500 0.7500 0.7500
Li 0.0000 0.0000 0.0000
F 0.5000 0.5000 0.5000
```

---

## 3
Material: LiF3
Method: DFT, PBE
State: relaxed Values from VASP.

Structure (Quantum ESPRESSO input):
```
&SYSTEM
  ibrav = 0, nat = 4, ntyp = 2
/
ATOMIC_SPECIES
Li 6.94 Li.upf
F 19.00 F.upf
CELL_PARAMETERS angstrom
1.8995 0.0000 5.7877
-0.9497 1.6450 5.7877
-0.9497 -1.6450 5.7877
ATOMIC_POSITIONS crystal
Li 0.0000 0.0000 0.0000
F 0.0988 0.0988 0.0988
F 0.5000 0.5000 0.5000
F 0.9012 0.9012 0.9012
```

---

## 4
Material: LiF3
Method: DFT, PBE
State: relaxed Values from VASP.

Structure (Quantum ESPRESSO input):
```
&SYSTEM
  ibrav = 0, nat = 8, ntyp = 2
/
ATOMIC_SPECIES
F 19.00 F.upf
Li 6.94 Li.upf
CELL_PARAMETERS angstrom
-0.4286 2.5014 3.3746
-2.6220 -2.8094 1.7495
2.8584 -2.7159 5.0179
ATOMIC_POSITIONS crystal
F 0.3750 0.4253 0.7500
F 0.1753 0.6250 0.2500
F 0.5747 0.1250 0.2500
Li 0.5000 0.5000 0.0000
Li 0.2500 0.7500 0.5000
F 0.8750 0.8247 0.7500
F 0.0000 0.0000 0.0000
F 0.7500 0.2500 0.5000
```

---

The structure with the greatest stability is 1.

---

## 1
Material: LiF3
Method: DFT, PBE
State: relaxed Values from VASP.

Structure (Quantum ESPRESSO input):
```
&SYSTEM
  ibrav = 0, nat = 8, ntyp = 2
/
ATOMIC_SPECIES
F 19.00 F.upf
Li 6.94 Li.upf
CELL_PARAMETERS angstrom
3.1450 0.0000 0.0000
0.0000 5.5187 -3.7140
0.0000 -1.6829 6.6302
ATOMIC_POSITIONS crystal
F 0.7500 0.2367 0.3527
F 0.2500 0.7428 0.3466
Li 0.2500 0.4862 0.6956
F 0.2500 0.2849 0.0293
F 0.7500 0.2572 0.6534
F 0.7500 0.7151 0.9707
Li 0.7500 0.5138 0.3044
F 0.2500 0.7633 0.6473
```

---

## 2
Material: LiF3
Method: DFT, PBE
State: relaxed Values from VASP.

Structure (Quantum ESPRESSO input):
```
&SYSTEM
  ibrav = 0, nat = 8, ntyp = 2
/
ATOMIC_SPECIES
Li 6.94 Li.upf
F 19.00 F.upf
CELL_PARAMETERS angstrom
0.3800 3.2777 -2.9491
-4.0082 -1.3655 1.2864
0.0576 3.4486 3.8403
ATOMIC_POSITIONS crystal
Li 0.6667 0.3333 0.2500
F 0.1690 0.8310 0.2500
F 0.1690 0.3380 0.2500
F 0.3380 0.1690 0.7500
F 0.6620 0.8310 0.2500
F 0.8310 0.6620 0.7500
F 0.8310 0.1690 0.7500
Li 0.3333 0.6667 0.7500
```

---

The structure with the greatest stability is 1.

---

## 1
Material: LiF3
Method: DFT, PBE
State: relaxed Values from VASP.

Structure (Quantum ESPRESSO input):
```
&SYSTEM
  ibrav = 0, nat = 4, ntyp = 2
/
ATOMIC_SPECIES
F 19.00 F.upf
Li 6.94 Li.upf
CELL_PARAMETERS angstrom
-0.8492 -2.7632 -0.2714
0.8757 -0.5359 2.7159
-4.5341 2.8720 0.4766
ATOMIC_POSITIONS crystal
F 0.2203 0.2203 0.4406
F 0.5000 0.5000 0.0000
F 0.7797 0.7797 0.5594
Li 0.0000 0.0000 0.0000
```

---

## 2
Material: LiF3
Method: DFT, PBE
State: relaxed Values from VASP.

Structure (Quantum ESPRESSO input):
```
&SYSTEM
  ibrav = 0, nat = 4, ntyp = 2
/
ATOMIC_SPECIES
Li 6.94 Li.upf
F 19.00 F.upf
CELL_PARAMETERS angstrom
3.0639 0.0000 0.0000
0.0000 4.8762 0.0000
-1.5320 -2.4381 3.2475
ATOMIC_POSITIONS crystal
Li 0.0000 0.8935 0.0000
F 0.5000 0.5589 0.0000
F 0.7018 0.0589 0.4037
F 0.2982 0.6553 0.5963
```

---

The structure with the greatest stability is 2.

---

## 1
Material: Li3MgF
Method: DFT, PBE
State: relaxed Values from VASP.

Structure (Quantum ESPRESSO input):
```
&SYSTEM
  ibrav = 0, nat = 5, ntyp = 3
/
ATOMIC_SPECIES
Li 6.94 Li.upf
Mg 24.30 Mg.upf
F 19.00 F.upf
CELL_PARAMETERS angstrom
-1.7721 -3.3198 -2.0552
2.8197 0.4731 -3.1955
2.7008 -2.6722 1.9876
ATOMIC_POSITIONS crystal
Li 0.0000 0.0000 0.5000
Mg 0.5000 0.5000 0.5000
Li 0.5000 0.0000 0.0000
Li 0.0000 0.5000 0.0000
F 0.0000 0.0000 0.0000
```

---

## 2
Material: Li3MgF
Method: DFT, PBE
State: relaxed Values from VASP.

Structure (Quantum ESPRESSO input):
```
&SYSTEM
  ibrav = 0, nat = 5, ntyp = 3
/
ATOMIC_SPECIES
Li 6.94 Li.upf
F 19.00 F.upf
Mg 24.30 Mg.upf
CELL_PARAMETERS angstrom
5.2887 0.0000 0.0000
0.0000 5.2887 0.0000
0.0000 0.0000 5.2887
ATOMIC_POSITIONS crystal
Li 0.0000 0.5000 0.0000
Li 0.5000 0.0000 0.0000
Li 0.0000 0.0000 0.5000
F 0.5000 0.5000 0.5000
Mg 0.0000 0.0000 0.0000
```

---

The structure with the greatest stability is 1.

---

## 1
Material: Li2MgF4
Method: DFT, PBE
State: relaxed Values from VASP.

Structure (Quantum ESPRESSO input):
```
&SYSTEM
  ibrav = 0, nat = 7, ntyp = 3
/
ATOMIC_SPECIES
Mg 24.30 Mg.upf
Li 6.94 Li.upf
F 19.00 F.upf
CELL_PARAMETERS angstrom
3.9094 0.0000 0.0000
0.0000 3.9094 0.0000
1.9547 1.9547 5.3373
ATOMIC_POSITIONS crystal
Mg 0.0000 0.0000 0.0000
Li 0.3508 0.3508 0.2984
F 0.1829 0.1829 0.6342
F 0.0000 0.5000 0.0000
F 0.5000 0.0000 0.0000
Li 0.6492 0.6492 0.7016
F 0.8171 0.8171 0.3658
```

---

## 2
Material: Li2MgF4
Method: DFT, PBE
State: relaxed Values from VASP.

Structure (Quantum ESPRESSO input):
```
&SYSTEM
  ibrav = 0, nat = 7, ntyp = 3
/
ATOMIC_SPECIES
F 19.00 F.upf
Li 6.94 Li.upf
Mg 24.30 Mg.upf
CELL_PARAMETERS angstrom
-0.2451 -3.0947 -0.4191
4.4298 -2.2899 2.6001
-1.3379 -0.5424 4.7858
ATOMIC_POSITIONS crystal
F 0.5732 0.8537 0.8323
Li 0.6607 0.6789 0.5633
Li 0.3393 0.3211 0.4367
Mg 0.0000 0.0000 0.0000
F 0.4268 0.1463 0.1677
F 0.8491 0.3016 0.6565
F 0.1509 0.6984 0.3435
```

---

The structure with the greatest stability is 2.

---

## 1
Material: Li2MgF
Method: DFT, PBE
State: relaxed Values from VASP.

Structure (Quantum ESPRESSO input):
```
&SYSTEM
  ibrav = 0, nat = 8, ntyp = 3
/
ATOMIC_SPECIES
Li 6.94 Li.upf
F 19.00 F.upf
Mg 24.30 Mg.upf
CELL_PARAMETERS angstrom
5.9891 0.0000 0.0000
0.0000 5.9891 0.0000
2.9945 2.9945 4.2020
ATOMIC_POSITIONS crystal
Li 0.3750 0.5793 0.7500
Li 0.8750 0.6707 0.7500
F 0.2500 0.7500 0.5000
F 0.5000 0.5000 0.0000
Li 0.4207 0.1250 0.2500
Li 0.3293 0.6250 0.2500
Mg 0.7500 0.2500 0.5000
Mg 0.0000 0.0000 0.0000
```

---

## 2
Material: Li2MgF
Method: DFT, PBE
State: relaxed Values from VASP.

Structure (Quantum ESPRESSO input):
```
&SYSTEM
  ibrav = 0, nat = 4, ntyp = 3
/
ATOMIC_SPECIES
Li 6.94 Li.upf
F 19.00 F.upf
Mg 24.30 Mg.upf
CELL_PARAMETERS angstrom
3.0176 0.0000 0.0000
1.5088 2.6133 0.0000
1.5088 0.8711 7.5602
ATOMIC_POSITIONS crystal
Li 0.2820 0.2820 0.1540
F 0.0000 0.0000 0.0000
Mg 0.5000 0.5000 0.5000
Li 0.7180 0.7180 0.8460
```

---

The structure with the greatest stability is 2.

---

## 1
Material: LiMgNF2
Method: DFT, PBE
State: relaxed Values from VASP.

Structure (Quantum ESPRESSO input):
```
&SYSTEM
  ibrav = 0, nat = 5, ntyp = 4
/
ATOMIC_SPECIES
N 14.01 N.upf
F 19.00 F.upf
Li 6.94 Li.upf
Mg 24.30 Mg.upf
CELL_PARAMETERS angstrom
3.5898 0.0000 0.0000
0.0000 3.5898 0.0000
0.0000 0.0000 4.0695
ATOMIC_POSITIONS crystal
N 0.0000 0.0000 0.5000
F 0.5000 0.0000 0.0000
Li 0.0000 0.0000 0.0000
Mg 0.5000 0.5000 0.5000
F 0.0000 0.5000 0.0000
```

---

## 2
Material: LiMgNF2
Method: DFT, PBE
State: relaxed Values from VASP.

Structure (Quantum ESPRESSO input):
```
&SYSTEM
  ibrav = 0, nat = 5, ntyp = 4
/
ATOMIC_SPECIES
Mg 24.30 Mg.upf
F 19.00 F.upf
Li 6.94 Li.upf
N 14.01 N.upf
CELL_PARAMETERS angstrom
3.9633 0.0000 0.0000
0.0000 3.9633 0.0000
0.0000 0.0000 4.2380
ATOMIC_POSITIONS crystal
Mg 0.0000 0.0000 0.0000
F 0.5000 0.0000 0.0000
Li 0.5000 0.5000 0.5000
F 0.0000 0.5000 0.0000
N 0.0000 0.0000 0.5000
```

---

The structure with the greatest stability is 2.

---

## 1
Material: LiMgOF2
Method: DFT, PBE
State: relaxed Values from VASP.

Structure (Quantum ESPRESSO input):
```
&SYSTEM
  ibrav = 0, nat = 5, ntyp = 4
/
ATOMIC_SPECIES
O 16.00 O.upf
Li 6.94 Li.upf
F 19.00 F.upf
Mg 24.30 Mg.upf
CELL_PARAMETERS angstrom
-2.6510 2.4853 -1.4704
0.4159 -1.6467 -3.5330
-2.9395 -2.6182 0.8743
ATOMIC_POSITIONS crystal
O 0.0000 0.0000 0.5000
Li 0.5000 0.5000 0.5000
F 0.0000 0.5000 0.0000
Mg 0.0000 0.0000 0.0000
F 0.5000 0.0000 0.0000
```

---

## 2
Material: LiMgOF2
Method: DFT, PBE
State: relaxed Values from VASP.

Structure (Quantum ESPRESSO input):
```
&SYSTEM
  ibrav = 0, nat = 5, ntyp = 4
/
ATOMIC_SPECIES
F 19.00 F.upf
Mg 24.30 Mg.upf
Li 6.94 Li.upf
O 16.00 O.upf
CELL_PARAMETERS angstrom
-0.6311 -3.3466 0.9875
2.5198 -1.1312 -2.2234
2.6771 0.3394 2.8613
ATOMIC_POSITIONS crystal
F 0.5000 0.0000 0.0000
Mg 0.5000 0.5000 0.5000
F 0.0000 0.5000 0.0000
Li 0.0000 0.0000 0.0000
O 0.0000 0.0000 0.5000
```

---

The structure with the greatest stability is 1.

---

## 1
Material: Li2YMgF
Method: DFT, PBE
State: relaxed Values from VASP.

Structure (Quantum ESPRESSO input):
```
&SYSTEM
  ibrav = 0, nat = 5, ntyp = 4
/
ATOMIC_SPECIES
Mg 24.30 Mg.upf
Li 6.94 Li.upf
Y 88.91 Y.upf
F 19.00 F.upf
CELL_PARAMETERS angstrom
4.7402 0.0000 0.0000
0.0000 6.1136 0.0000
0.0000 0.0000 4.7402
ATOMIC_POSITIONS crystal
Mg 0.0000 0.0000 0.0000
Li 0.0000 0.0000 0.5000
Y 0.0000 0.5000 0.0000
Li 0.5000 0.0000 0.0000
F 0.5000 0.5000 0.5000
```

---

## 2
Material: Li2YMgF
Method: DFT, PBE
State: relaxed Values from VASP.

Structure (Quantum ESPRESSO input):
```
&SYSTEM
  ibrav = 0, nat = 5, ntyp = 4
/
ATOMIC_SPECIES
Y 88.91 Y.upf
Li 6.94 Li.upf
Mg 24.30 Mg.upf
F 19.00 F.upf
CELL_PARAMETERS angstrom
-2.6517 3.0742 -4.6362
-1.4610 -5.5728 -2.8596
-5.3838 -0.1258 2.9959
ATOMIC_POSITIONS crystal
Y 0.0000 0.0000 0.0000
Li 0.5000 0.0000 0.0000
Mg 0.0000 0.5000 0.0000
F 0.5000 0.5000 0.5000
Li 0.0000 0.0000 0.5000
```

---

The structure with the greatest stability is 1.